Record 1
Material: Na2TaNbRu
Method: DFT, PBE-GGA
State: relaxed

total moment	0.70	μB per atom
total DFT energy (no corrections)	-4.526	eV/atom
ΔE_f	216.3	kJ per mole of atoms
mass density	5.05	g cm⁻³
volume	27.66	A^3/atom

abc: 5.3672 4.8010 5.3672
angles: 90.00 90.00 90.00
Closest atoms and distances in Å follow each position.
Atoms (fractional coordinates):
1 Na 0.5000 0.0000 0.0000  2 Ta 2.68
2 Na 0.0000 0.0000 0.5000  2 Ta 2.68
3 Nb 0.0000 0.5000 0.0000  2 Ta 2.40
4 Ru 0.5000 0.5000 0.5000  8 Na 3.60, 4 Nb 3.80
5 Ta 0.0000 0.0000 0.0000  2 Nb 2.40, 4 Na 2.68

Record 2
Material: Li3CaGa3
Method: DFT, PBE-GGA
State: relaxed

total moment	0.00	μB per atom
total DFT energy (no corrections)	-2.279	eV/atom
ΔE_f	12.0	kJ per mole of atoms
mass density	2.79	g cm⁻³
volume	22.99	A^3/atom

abc: 6.8533 6.8533 6.8533
angles: 90.00 90.00 90.00
Closest atoms and distances in Å follow each position.
Atoms (fractional coordinates):
1 Ga 0.0000 0.5000 0.2500  4 Li 2.42
2 Ga 0.5000 0.7500 0.0000  4 Li 2.42
3 Ga 0.2500 0.0000 0.5000  4 Li 2.42
4 Ga 0.0000 0.5000 0.7500  4 Li 2.42
5 Ga 0.5000 0.2500 0.0000  4 Li 2.42
6 Ga 0.7500 0.0000 0.5000  4 Li 2.42
7 Li 0.7500 0.5000 0.0000  4 Ga 2.42
8 Li 0.0000 0.2500 0.5000  4 Ga 2.42
9 Li 0.5000 0.0000 0.7500  4 Ga 2.42
10 Li 0.5000 0.0000 0.2500  4 Ga 2.42
11 Li 0.2500 0.5000 0.0000  4 Ga 2.42
12 Li 0.0000 0.7500 0.5000  4 Ga 2.42
13 Ca 0.0000 0.0000 0.0000  12 Li 3.83, 12 Ga 3.83
14 Ca 0.5000 0.5000 0.5000  12 Li 3.83, 12 Ga 3.83

Record 3
Material: Al2Zn2Ag
Method: DFT, PBE-GGA
State: relaxed

total moment	0.00	μB per atom
total DFT energy (no corrections)	-2.587	eV/atom
ΔE_f	-1.0	kJ per mole of atoms
mass density	6.01	g cm⁻³
volume	16.18	A^3/atom

abc: 2.8692 2.8692 11.4667
angles: 82.81 82.81 60.00
Closest atoms and distances in Å follow each position.
Atoms (fractional coordinates):
1 Zn 0.6001 0.6001 0.1997  3 Al 2.79, 3 Ag 2.81, 6 Zn 2.87
2 Zn 0.3999 0.3999 0.8003  3 Al 2.79, 3 Ag 2.81, 6 Zn 2.87
3 Al 0.8676 0.8676 0.3972  3 Zn 2.79, 9 Al 2.86-2.87
4 Al 0.1324 0.1324 0.6028  3 Zn 2.79, 9 Al 2.86-2.87
5 Ag 0.0000 0.0000 0.0000  6 Zn 2.81, 6 Ag 2.87

Record 4
Material: BeO
Method: DFT, PBE-GGA
State: relaxed

total moment	0.00	μB per atom
formation energy from raw total energies	-2574.4	meV/atom
total DFT energy (no corrections)	-6.917	eV/atom
mass density	2.57	g cm⁻³
volume	8.07	A^3/atom

abc: 4.8014 4.8639 5.5315
angles: 90.00 90.00 90.00
Closest atoms and distances in Å follow each position.
Atoms (fractional coordinates):
1 Be 0.3579 0.5700 0.7615  4 O 1.57-1.72
2 Be 0.8386 0.3974 0.9732  4 O 1.62-1.71
3 Be 0.6614 0.6026 0.4732  4 O 1.62-1.71
4 Be 0.3386 0.1026 0.0268  4 O 1.62-1.71
5 Be 0.1421 0.4300 0.2615  4 O 1.57-1.72
6 Be 0.8579 0.9300 0.2385  4 O 1.57-1.72
7 Be 0.1614 0.8974 0.5268  4 O 1.62-1.71
8 Be 0.6421 0.0700 0.7385  4 O 1.57-1.72
9 O 0.8281 0.5788 0.2199  4 Be 1.62-1.72
10 O 0.3063 0.5942 0.4601  4 Be 1.57-1.71
11 O 0.3281 0.9212 0.7801  4 Be 1.62-1.72
12 O 0.6719 0.4212 0.7199  4 Be 1.62-1.72
13 O 0.1719 0.0788 0.2801  4 Be 1.62-1.72
14 O 0.6937 0.0942 0.0399  4 Be 1.57-1.71
15 O 0.8063 0.9058 0.5399  4 Be 1.57-1.71
16 O 0.1937 0.4058 0.9601  4 Be 1.57-1.71

Record 5
Material: SbBr2Cl
Method: DFT, PBE-GGA
State: relaxed

total moment	0.00	μB per atom
formation energy from raw total energies	-652.8	meV/atom
total DFT energy (no corrections)	-2.982	eV/atom
mass density	2.98	g cm⁻³
volume	44.21	A^3/atom

abc: 4.0482 6.9683 7.8016
angles: 53.48 90.00 90.00
Closest atoms and distances in Å follow each position.
Atoms (fractional coordinates):
1 Sb 0.5000 0.7733 0.6920  1 Br 2.51, 2 Cl 2.71
2 Cl 0.0000 0.6722 0.5261  2 Sb 2.71
3 Br 0.0000 0.8480 0.9046  2 Sb 2.85
4 Br 0.5000 0.2064 0.3774  1 Sb 2.51

Record 6
Material: PrPuSn2
Method: DFT, PBE-GGA
State: relaxed

total moment	1.46	μB per atom
total DFT energy (no corrections)	-7.300	eV/atom
ΔE_f	-50.3	kJ per mole of atoms
mass density	9.35	g cm⁻³
volume	27.63	A^3/atom

abc: 3.4787 3.4787 9.1332
angles: 90.00 90.00 90.00
Closest atoms and distances in Å follow each position.
Atoms (fractional coordinates):
1 Pr 0.5000 0.5000 0.5000  8 Sn 3.39, 4 Pr 3.48
2 Sn 0.0000 0.0000 0.2439  4 Pu 3.32, 4 Pr 3.39, 4 Sn 3.48
3 Sn 0.0000 0.0000 0.7561  4 Pu 3.32, 4 Pr 3.39, 4 Sn 3.48
4 Pu 0.5000 0.5000 0.0000  8 Sn 3.32, 4 Pu 3.48